# Zr3CrRu | Alexandria | GGA-PBE | optimized geometry
data_Zr3CrRu
_chemical_formula_sum 'Zr3 Cr1 Ru1'
_symmetry_space_group_name_H-M 'P m -3 m'
_symmetry_Int_Tables_number 221
_symmetry_space_group_name_Hall '-P 4 2 3'
_cell_length_a 4.727
_cell_length_b 4.727
_cell_length_c 4.727
_cell_angle_alpha 90.00
_cell_angle_beta 90.00
_cell_angle_gamma 90.00
loop_
_atom_site_label
_atom_site_type_symbol
_atom_site_fract_x
_atom_site_fract_y
_atom_site_fract_z
Zr1 Zr 0.000 0.000 0.500
Cr1 Cr 0.000 0.000 0.000
Ru1 Ru 0.500 0.500 0.500
# - Calculated formation energy: 720 meV per atom

# HfTeIr | Alexandria | GGA-PBE | optimized geometry
data_HfTeIr
_chemical_formula_sum 'Hf4 Te4 Ir4'
_symmetry_space_group_name_H-M 'C 1 m 1'
_symmetry_Int_Tables_number 8
_cell_length_a 11.939
_cell_length_b 4.029
_cell_length_c 5.540
_cell_angle_alpha 90.00
_cell_angle_beta 101.07
_cell_angle_gamma 90.00
loop_
_symmetry_equiv_pos_as_xyz
'x,y,z'
'x,-y,z'
'x+1/2,y+1/2,z'
'x+1/2,-y+1/2,z'
loop_
_atom_site_label
_atom_site_type_symbol
_atom_site_fract_x
_atom_site_fract_y
_atom_site_fract_z
Hf1 Hf 0.000 0.000 0.000
Hf2 Hf 0.102 0.500 0.511
Te1 Te 0.273 0.000 0.873
Te2 Te 0.401 0.500 0.449
Ir1 Ir 0.137 0.500 0.008
Ir2 Ir 0.218 0.000 0.374
# - E_form (uncorrected): -1.60 eV per formula unit

# Dy8Ho2Ga | Alexandria | GGA-PBE | optimized geometry
data_Dy8Ho2Ga
_chemical_formula_sum 'Dy16 Ho4 Ga2'
_symmetry_space_group_name_H-M 'C 1 2/m 1'
_symmetry_Int_Tables_number 12
_cell_length_a 19.039
_cell_length_b 5.460
_cell_length_c 6.387
_cell_angle_alpha 90.00
_cell_angle_beta 93.91
_cell_angle_gamma 90.00
loop_
_symmetry_equiv_pos_as_xyz
'x,y,z'
'-x,-y,-z'
'-x,y,-z'
'x,-y,z'
'x+1/2,y+1/2,z'
'-x+1/2,-y+1/2,-z'
'-x+1/2,y+1/2,-z'
'x+1/2,-y+1/2,z'
loop_
_atom_site_label
_atom_site_type_symbol
_atom_site_fract_x
_atom_site_fract_y
_atom_site_fract_z
Dy1 Dy 0.042 0.000 0.254
Dy2 Dy 0.078 0.500 0.607
Dy3 Dy 0.156 0.000 0.809
Dy4 Dy 0.156 0.500 0.122
Ho1 Ho 0.241 0.000 0.333
Ga1 Ga 0.000 0.500 0.000
# - Calculated formation energy: -75 meV per atom

# Sc7Ga2Ni2 | Alexandria | GGA-PBE | optimized geometry
data_Sc7Ga2Ni2
_chemical_formula_sum 'Sc14 Ga4 Ni4'
_symmetry_space_group_name_H-M 'C m m m'
_symmetry_Int_Tables_number 65
_symmetry_space_group_name_Hall '-C 2 2'
_cell_length_a 7.224
_cell_length_b 10.204
_cell_length_c 6.376
_cell_angle_alpha 90.00
_cell_angle_beta 90.00
_cell_angle_gamma 90.00
loop_
_atom_site_label
_atom_site_type_symbol
_atom_site_fract_x
_atom_site_fract_y
_atom_site_fract_z
Sc1 Sc 0.000 0.000 0.000
Sc2 Sc 0.000 0.500 0.247
Sc3 Sc 0.250 0.250 0.255
Ga1 Ga 0.174 0.000 0.500
Ni1 Ni 0.000 0.292 0.000
# - Calculated formation energy: -255 meV per atom

Number 1: E -8.19 eV per atom, M_tot 0.000 μB per atom. Number 2: E -7.85 eV per atom, M_tot 0.000 μB per atom. Number 3: E -4.53 eV per atom, M_tot 0.000 μB per atom. Number 4: E -5.89 eV per atom, M_tot 0.000 μB per atom.